## NaMg12In6 (PBE)

Data for crystalline NaMg12In6 at its relaxed geometry.

Lattice parameters (Å, degrees): 7.705 7.705 7.705 89.98 89.98 89.98
Fractional positions:
Na (0.000, 0.000, 0.000)
Mg (0.565, 0.198, 0.479)
Mg (0.198, 0.479, 0.565)
Mg (0.479, 0.565, 0.198)
Mg (0.435, 0.802, 0.521)
Mg (0.802, 0.521, 0.435)
Mg (0.521, 0.435, 0.802)
Mg (0.954, 0.851, 0.625)
Mg (0.375, 0.046, 0.149)
Mg (0.149, 0.375, 0.046)
Mg (0.046, 0.149, 0.375)
Mg (0.625, 0.954, 0.851)
Mg (0.851, 0.625, 0.954)
In (0.275, 0.121, 0.728)
In (0.879, 0.272, 0.725)
In (0.272, 0.725, 0.879)
In (0.725, 0.879, 0.272)
In (0.121, 0.728, 0.275)
In (0.728, 0.275, 0.121)

Properties
electronic total energy = -1.9590 eV/atom
Fermi-level density of states = 0.43 states/eV/atom
energy above the lowest structure with this stoichiometry = 0 meV/atom
space-group type = R-3
calculated volume = 24.07 A^3/atom

***

## Na3MgIn5 (PBE)

Data for crystalline Na3MgIn5 at its relaxed geometry.

Lattice parameters (Å, degrees): 8.810 8.810 8.990 119.34 119.34 90.00
Fractional positions:
Na (0.609, 0.109, 0.000)
Na (0.391, 0.891, 0.000)
Na (0.891, 0.609, 0.000)
Na (0.109, 0.391, 0.000)
Na (0.250, 0.250, 0.500)
Na (0.750, 0.750, 0.500)
Mg (0.750, 0.250, 0.500)
Mg (0.250, 0.750, 0.500)
In (0.066, 0.566, 0.726)
In (0.660, 0.160, 0.726)
In (0.160, 0.066, 0.726)
In (0.566, 0.660, 0.726)
In (0.934, 0.434, 0.274)
In (0.340, 0.840, 0.274)
In (0.840, 0.934, 0.274)
In (0.434, 0.340, 0.274)
In (0.500, 0.500, 0.000)
In (0.000, 0.000, 0.000)

Properties
electronic total energy = -2.0862 eV/atom
Fermi-level density of states = 0.49 states/eV/atom
space-group type = I4/mcm
calculated volume = 27.95 A^3/atom